{
  "formula": "CoAsPbO",
  "functional": "PBE+U",
  "state": "optimized geometry",
  "lattice_angstrom": [[3.1952, 0.0000, 0.0000], [0.0000, 6.9945, 0.0000], [0.0000, 0.0000, 7.0930]],
  "species": ["O", "O", "As", "As", "Co", "Co", "Pb", "Pb"],
  "frac_coords": [[0.5000, 0.3775, 0.4313], [0.5000, 0.6225, 0.9313], [0.0000, 0.0668, 0.7823], [0.0000, 0.9332, 0.2823], [0.0000, 0.7759, 0.9748], [0.0000, 0.2241, 0.4748], [0.5000, 0.3170, 0.0656], [0.5000, 0.6831, 0.5656]],
  "de_polymorph_kj_per_mol_fu": 85,
  "magnetic_moment_mub_per_cell": 2.24,
  "space_group": "Pmc2_1 (26)",
  "vol_a3_per_cell": 158.5,
  "final_energy_ry_per_atom": -0.3455
}